[1]
A plane-wave DFT calculation with PBE was carried out for an optimized crystal structure of Pr2Ho2CIBr2Cl2.

Unit cell a=8.929 b=8.929 c=8.984 alpha=102.54 beta=102.54 gamma=25.45
Positions (direct):
Pr 0.997 0.997 0.195
Br 0.826 0.826 0.697
C 0.500 0.500 0.000
Ho 0.641 0.641 0.068
Cl 0.824 0.824 0.122
Cl 0.176 0.176 0.878
Br 0.174 0.174 0.303
I 0.500 0.500 0.500
Ho 0.359 0.359 0.932
Pr 0.003 0.003 0.805

Summary:
Crystal system: monoclinic
Polymorph energy (0 for the lowest one): 0 meV per atom

***

[2]
A plane-wave DFT calculation with PBE was carried out for an optimized crystal structure of Li4GaTcO6.

Unit cell a=5.094 b=5.094 c=5.088 alpha=99.77 beta=99.77 gamma=119.91
Last column: magnetic moment on the atom in μB.
Positions (direct):
Ga 0.833 0.167 0.000  0.04
Li 0.660 0.340 0.500  0.00
Li 0.340 0.660 0.500  0.00
Li 0.999 0.001 0.500  0.00
Li 0.500 0.500 0.000  0.01
O 0.931 0.582 0.231  0.04
O 0.418 0.069 0.769  0.04
O 0.229 0.226 0.235  0.04
O 0.576 0.928 0.232  0.05
O 0.072 0.424 0.768  0.04
O 0.774 0.771 0.765  0.05
Tc 0.168 0.832 0.000  1.55

Summary:
Crystal system: monoclinic

***

[3]
A plane-wave DFT calculation with PBE was carried out for an optimized crystal structure of Dy2HoCu4Sn2Ge2.

Unit cell a=8.229 b=8.229 c=8.229 alpha=149.79 beta=130.37 gamma=59.21
Positions (direct):
Cu 0.989 0.676 0.313
Ho 0.000 0.000 0.000
Cu 0.011 0.324 0.687
Sn 0.702 0.500 0.202
Ge 0.784 0.784 0.000
Ge 0.216 0.216 0.000
Cu 0.637 0.324 0.313
Dy 0.364 0.864 0.500
Cu 0.363 0.676 0.687
Dy 0.636 0.136 0.500
Sn 0.298 0.500 0.798

Summary:
Crystal system: orthorhombic
Polymorph energy (0 for the lowest one): 65 meV per atom

***

[4]
A plane-wave DFT calculation with PBE was carried out for an optimized crystal structure of Tm4GaSe3.

Unit cell a=7.073 b=7.073 c=3.992 alpha=90.00 beta=90.00 gamma=108.96
Positions (direct):
Tm 0.242 0.758 0.000
Tm 0.758 0.242 0.000
Se 0.000 0.500 0.500
Se 0.500 0.500 0.000
Tm 0.759 0.759 0.500
Tm 0.241 0.241 0.500
Ga 0.000 0.000 0.000
Se 0.500 0.000 0.500

Summary:
Crystal system: orthorhombic

***

[5]
A plane-wave DFT calculation with PBE was carried out for an optimized crystal structure of TmNp.

Unit cell a=3.260 b=3.260 c=5.708 alpha=90.00 beta=90.00 gamma=120.00
Last column: magnetic moment on the atom in μB.
Positions (direct):
Np 0.667 0.333 0.750  3.89
Tm 0.333 0.667 0.250  0.02

Summary:
Calculated formation energy: 40.0 kJ per mole of atoms
Crystal system: hexagonal
Polymorph energy (0 for the lowest one): 0 meV per atom

***

[6]
A plane-wave DFT calculation with PBE was carried out for an optimized crystal structure of K3RbAu.

Unit cell a=8.226 b=9.680 c=8.230 alpha=90.00 beta=110.89 gamma=90.00
Positions (direct):
K 0.749 0.750 0.753
K 0.745 0.500 0.246
Au 0.504 0.750 0.996
Rb 0.248 0.750 0.253
K 0.255 0.000 0.754
K 0.251 0.250 0.247
K 0.255 0.500 0.754
K 0.745 0.000 0.246
Au 0.496 0.250 0.004
Rb 0.752 0.250 0.747

Summary:
Crystal system: monoclinic
Polymorph energy (0 for the lowest one): 14 meV per atom

***

| no. | DFT total energy (eV/cell) |
| --- | --- |
| 1 | -51.19 |
| 2 | -72.64 |
| 3 | -51.67 |
| 4 | -42.90 |
| 5 | -16.41 |
| 6 | -16.28 |